1.
# Cr2NiOs, optimized geometry, DFT PBEsol
data_Cr2NiOs
_space_group_name_H-M_alt 'P 4/m m m'
_space_group_IT_number 123
_space_group_name_Hall '-P 4 2'
_cell_length_a 3.5984
_cell_length_b 3.5984
_cell_length_c 3.6109
_cell_angle_alpha 90.00
_cell_angle_beta 90.00
_cell_angle_gamma 90.00
loop_
_atom_site_label
_atom_site_fract_x
_atom_site_fract_y
_atom_site_fract_z
Cr1 0.0000 0.5000 0.0000
Ni1 0.0000 0.0000 0.5000
Os1 0.5000 0.5000 0.5000
# E_form: 0.13 eV per formula unit

=====

2.
# BaP2S2, optimized geometry, DFT PBEsol
data_BaP2S2
_space_group_name_H-M_alt 'P 4/m m m'
_space_group_IT_number 123
_space_group_name_Hall '-P 4 2'
_cell_length_a 6.2563
_cell_length_b 6.2563
_cell_length_c 5.7623
_cell_angle_alpha 90.00
_cell_angle_beta 90.00
_cell_angle_gamma 90.00
loop_
_atom_site_label
_atom_site_fract_x
_atom_site_fract_y
_atom_site_fract_z
Ba1 0.0000 0.0000 0.0000
P1 0.0000 0.5000 0.0000
S1 0.0000 0.0000 0.5000
S2 0.5000 0.5000 0.5000
# formation energy (no corrections): 1.65 eV per atom

=====

3.
# CdReP, optimized geometry, DFT PBEsol
data_CdReP
_space_group_name_H-M_alt 'F -4 3 m'
_space_group_IT_number 216
_space_group_name_Hall 'F -4 2 3'
_cell_length_a 5.9598
_cell_length_b 5.9598
_cell_length_c 5.9598
_cell_angle_alpha 90.00
_cell_angle_beta 90.00
_cell_angle_gamma 90.00
loop_
_atom_site_label
_atom_site_fract_x
_atom_site_fract_y
_atom_site_fract_z
Cd1 0.0000 0.0000 0.0000
Re1 0.2500 0.2500 0.2500
P1 0.0000 0.0000 0.5000
# E_form: 2.23 eV per formula unit

=====

4.
# LuGePt, optimized geometry, DFT PBEsol
data_LuGePt
_space_group_name_H-M_alt 'P n m a'
_space_group_IT_number 62
_space_group_name_Hall '-P 2ac 2n'
_cell_length_a 6.7771
_cell_length_b 4.2872
_cell_length_c 7.4612
_cell_angle_alpha 90.00
_cell_angle_beta 90.00
_cell_angle_gamma 90.00
loop_
_atom_site_label
_atom_site_fract_x
_atom_site_fract_y
_atom_site_fract_z
Lu1 0.0030 0.2500 0.2031
Ge1 0.1904 0.2500 0.5894
Pt1 0.2063 0.7500 0.4162
# E_form: -3.50 eV per formula unit

=====

5.
# FeSiP2, optimized geometry, DFT PBEsol
data_FeSiP2
_space_group_name_H-M_alt 'P 4/m m m'
_space_group_IT_number 123
_space_group_name_Hall '-P 4 2'
_cell_length_a 4.4156
_cell_length_b 4.4156
_cell_length_c 2.5669
_cell_angle_alpha 90.00
_cell_angle_beta 90.00
_cell_angle_gamma 90.00
loop_
_atom_site_label
_atom_site_fract_x
_atom_site_fract_y
_atom_site_fract_z
Fe1 0.0000 0.0000 0.0000
Si1 0.5000 0.5000 0.0000
P1 0.0000 0.5000 0.5000
# formation energy (no corrections): 0.29 eV per atom

=====

6.
# TlPbAu, optimized geometry, DFT PBEsol
data_TlPbAu
_space_group_name_H-M_alt 'P 3 m 1'
_space_group_IT_number 156
_space_group_name_Hall 'P 3 -2"'
_cell_length_a 4.6401
_cell_length_b 4.6401
_cell_length_c 4.1559
_cell_angle_alpha 90.00
_cell_angle_beta 90.00
_cell_angle_gamma 120.00
loop_
_atom_site_label
_atom_site_fract_x
_atom_site_fract_y
_atom_site_fract_z
Tl1 0.0000 0.0000 0.0000
Pb1 0.3333 0.6667 0.4456
Au1 0.6667 0.3333 0.7280
# E_form: 0.12 eV per formula unit

=====

7.
# CoTe2PI, optimized geometry, DFT PBEsol
data_CoTe2PI
_space_group_name_H-M_alt 'P 4/m m m'
_space_group_IT_number 123
_space_group_name_Hall '-P 4 2'
_cell_length_a 4.8713
_cell_length_b 4.8713
_cell_length_c 5.0261
_cell_angle_alpha 90.00
_cell_angle_beta 90.00
_cell_angle_gamma 90.00
loop_
_atom_site_label
_atom_site_fract_x
_atom_site_fract_y
_atom_site_fract_z
Co1 0.0000 0.0000 0.0000
Te1 0.0000 0.5000 0.0000
P1 0.5000 0.5000 0.5000
I1 0.0000 0.0000 0.5000
# formation energy (no corrections): 0.67 eV per atom

=====

8.
# MnCrCu, optimized geometry, DFT PBEsol
data_MnCrCu
_space_group_name_H-M_alt 'F -4 3 m'
_space_group_IT_number 216
_space_group_name_Hall 'F -4 2 3'
_cell_length_a 5.4977
_cell_length_b 5.4977
_cell_length_c 5.4977
_cell_angle_alpha 90.00
_cell_angle_beta 90.00
_cell_angle_gamma 90.00
loop_
_atom_site_label
_atom_site_fract_x
_atom_site_fract_y
_atom_site_fract_z
Mn1 0.0000 0.0000 0.0000
Cr1 0.2500 0.2500 0.2500
Cu1 0.0000 0.0000 0.5000
# E_form: 2.55 eV per formula unit

=====

9.
# KYTi3, optimized geometry, DFT PBEsol
data_KYTi3
_space_group_name_H-M_alt 'P m -3 m'
_space_group_IT_number 221
_space_group_name_Hall '-P 4 2 3'
_cell_length_a 5.1417
_cell_length_b 5.1417
_cell_length_c 5.1417
_cell_angle_alpha 90.00
_cell_angle_beta 90.00
_cell_angle_gamma 90.00
loop_
_atom_site_label
_atom_site_fract_x
_atom_site_fract_y
_atom_site_fract_z
K1 0.0000 0.0000 0.0000
Y1 0.5000 0.5000 0.5000
Ti1 0.0000 0.5000 0.5000
# E_form: 7.80 eV per formula unit

=====

10.
# Sr2NbSnAu, optimized geometry, DFT PBEsol
data_Sr2NbSnAu
_space_group_name_H-M_alt 'P 4/m m m'
_space_group_IT_number 123
_space_group_name_Hall '-P 4 2'
_cell_length_a 5.7503
_cell_length_b 5.7503
_cell_length_c 4.9790
_cell_angle_alpha 90.00
_cell_angle_beta 90.00
_cell_angle_gamma 90.00
loop_
_atom_site_label
_atom_site_fract_x
_atom_site_fract_y
_atom_site_fract_z
Sr1 0.0000 0.5000 0.0000
Nb1 0.0000 0.0000 0.0000
Sn1 0.5000 0.5000 0.5000
Au1 0.0000 0.0000 0.5000
# E_form: 3.61 eV per formula unit

=====

11.
# Ba2CuMoN, optimized geometry, DFT PBEsol
data_Ba2CuMoN
_space_group_name_H-M_alt 'P 4/m m m'
_space_group_IT_number 123
_space_group_name_Hall '-P 4 2'
_cell_length_a 5.9254
_cell_length_b 5.9254
_cell_length_c 4.5879
_cell_angle_alpha 90.00
_cell_angle_beta 90.00
_cell_angle_gamma 90.00
loop_
_atom_site_label
_atom_site_fract_x
_atom_site_fract_y
_atom_site_fract_z
Ba1 0.0000 0.5000 0.0000
Cu1 0.0000 0.0000 0.0000
Mo1 0.0000 0.0000 0.5000
N1 0.5000 0.5000 0.5000
# formation energy (no corrections): 1.52 eV per atom

=====

12.
# ReNi2Br, optimized geometry, DFT PBEsol
data_ReNi2Br
_space_group_name_H-M_alt 'I 4/m m m'
_space_group_IT_number 139
_space_group_name_Hall '-I 4 2'
_cell_length_a 3.8445
_cell_length_b 3.8445
_cell_length_c 7.3010
_cell_angle_alpha 90.00
_cell_angle_beta 90.00
_cell_angle_gamma 90.00
loop_
_atom_site_label
_atom_site_fract_x
_atom_site_fract_y
_atom_site_fract_z
Re1 0.0000 0.0000 0.0000
Ni1 0.0000 0.5000 0.2500
Br1 0.0000 0.0000 0.5000
# formation energy (no corrections): 1.08 eV per atom

=====

13.
# CeTeCl, optimized geometry, DFT PBEsol
data_CeTeCl
_space_group_name_H-M_alt 'P n m a'
_space_group_IT_number 62
_space_group_name_Hall '-P 2ac 2n'
_cell_length_a 7.8098
_cell_length_b 4.3507
_cell_length_c 9.2077
_cell_angle_alpha 90.00
_cell_angle_beta 90.00
_cell_angle_gamma 90.00
loop_
_atom_site_label
_atom_site_fract_x
_atom_site_fract_y
_atom_site_fract_z
Ce1 0.2357 0.2500 0.1337
Te1 0.0360 0.7500 0.3332
Cl1 0.1361 0.7500 0.9395
# formation energy (no corrections): -1.71 eV per atom

=====

14.
# CrIr, optimized geometry, DFT PBEsol
data_CrIr
_space_group_name_H-M_alt 'C 1 m 1'
_space_group_IT_number 8
_space_group_name_Hall 'C -2y'
_cell_length_a 9.5489
_cell_length_b 2.6508
_cell_length_c 6.2177
_cell_angle_alpha 90.00
_cell_angle_beta 104.21
_cell_angle_gamma 90.00
loop_
_atom_site_label
_atom_site_fract_x
_atom_site_fract_y
_atom_site_fract_z
Cr1 0.0000 0.0000 0.0000
Cr2 0.0596 0.0000 0.6100
Cr3 0.1737 0.5000 0.3327
Ir1 0.2154 0.5000 0.9441
Ir2 0.3388 0.0000 0.6674
Ir3 0.3999 0.0000 0.2792
# E_form: -0.32 eV per formula unit

=====

15.
# BaMoAu2, optimized geometry, DFT PBEsol
data_BaMoAu2
_space_group_name_H-M_alt 'P 1 m 1'
_space_group_IT_number 6
_space_group_name_Hall 'P -2y'
_cell_length_a 3.0179
_cell_length_b 4.7354
_cell_length_c 6.2298
_cell_angle_alpha 90.00
_cell_angle_beta 90.24
_cell_angle_gamma 90.00
loop_
_atom_site_label
_atom_site_fract_x
_atom_site_fract_y
_atom_site_fract_z
Ba1 0.0000 0.0000 0.0000
Mo1 0.9946 0.5000 0.3945
Au1 0.4980 0.0000 0.4688
Au2 0.4979 0.5000 0.7543
# E_form: 1.48 eV per formula unit

=====

16.
# La2Rh2Au, optimized geometry, DFT PBEsol
data_La2Rh2Au
_space_group_name_H-M_alt 'I 4/m m m'
_space_group_IT_number 139
_space_group_name_Hall '-I 4 2'
_cell_length_a 3.8942
_cell_length_b 3.8942
_cell_length_c 15.2048
_cell_angle_alpha 90.00
_cell_angle_beta 90.00
_cell_angle_gamma 90.00
loop_
_atom_site_label
_atom_site_fract_x
_atom_site_fract_y
_atom_site_fract_z
La1 0.0000 0.0000 0.1200
Rh1 0.0000 0.5000 0.2500
Au1 0.0000 0.0000 0.5000
# E_form: -2.36 eV per formula unit

=====

17.
# InAg2Os, optimized geometry, DFT PBEsol
data_InAg2Os
_space_group_name_H-M_alt 'C m m 2'
_space_group_IT_number 35
_space_group_name_Hall 'C 2 -2'
_cell_length_a 2.9809
_cell_length_b 4.7823
_cell_length_c 9.4576
_cell_angle_alpha 90.00
_cell_angle_beta 90.00
_cell_angle_gamma 90.00
loop_
_atom_site_label
_atom_site_fract_x
_atom_site_fract_y
_atom_site_fract_z
In1 0.0000 0.0000 0.0000
Ag1 0.0000 0.0000 0.5098
Ag2 0.0000 0.5000 0.2620
Os1 0.0000 0.5000 0.7553
# E_form: 1.89 eV per formula unit

=====

18.
# Pr2InGe2, optimized geometry, DFT PBEsol
data_Pr2InGe2
_space_group_name_H-M_alt 'P 4/m b m'
_space_group_IT_number 127
_space_group_name_Hall '-P 4 2ab'
_cell_length_a 7.4667
_cell_length_b 7.4667
_cell_length_c 4.3532
_cell_angle_alpha 90.00
_cell_angle_beta 90.00
_cell_angle_gamma 90.00
loop_
_atom_site_label
_atom_site_fract_x
_atom_site_fract_y
_atom_site_fract_z
Pr1 0.1797 0.3203 0.0000
In1 0.0000 0.0000 0.5000
Ge1 0.1191 0.6191 0.5000
# E_form: -3.94 eV per formula unit

=====

19.
# NaMo6O17, optimized geometry, DFT PBEsol
data_NaMo6O17
_space_group_name_H-M_alt 'P 1 21/m 1'
_space_group_IT_number 11
_space_group_name_Hall '-P 2yb'
_cell_length_a 9.5309
_cell_length_b 5.5088
_cell_length_c 13.1472
_cell_angle_alpha 90.00
_cell_angle_beta 90.73
_cell_angle_gamma 90.00
loop_
_atom_site_label
_atom_site_fract_x
_atom_site_fract_y
_atom_site_fract_z
Na1 0.0739 0.2500 0.0993
Mo1 0.0819 0.2500 0.7977
Mo2 0.0859 0.2500 0.3598
Mo3 0.2635 0.7500 0.5077
Mo4 0.3063 0.7500 0.0053
Mo5 0.4018 0.2500 0.1856
Mo6 0.4253 0.2500 0.6606
O1 0.0068 0.0089 0.2507
O2 0.0610 0.2500 0.9275
O3 0.0839 0.7500 0.5838
O4 0.1681 0.0044 0.4262
O5 0.1714 0.7500 0.9182
O6 0.2469 0.2500 0.2594
O7 0.2607 0.2500 0.7608
O8 0.2917 0.0100 0.0849
O9 0.3418 0.0005 0.5876
O10 0.4173 0.7500 0.4199
O11 0.4664 0.7500 0.9373
O12 0.4893 0.0041 0.2463
# formation energy (no corrections): -2.03 eV per atom

=====

20.
# Mn7Si, optimized geometry, DFT PBEsol
data_Mn7Si
_space_group_name_H-M_alt 'F m -3 m'
_space_group_IT_number 225
_space_group_name_Hall '-F 4 2 3'
_cell_length_a 7.0096
_cell_length_b 7.0096
_cell_length_c 7.0096
_cell_angle_alpha 90.00
_cell_angle_beta 90.00
_cell_angle_gamma 90.00
loop_
_atom_site_label
_atom_site_fract_x
_atom_site_fract_y
_atom_site_fract_z
Mn1 0.0000 0.0000 0.0000
Mn2 0.0000 0.2500 0.2500
Si1 0.0000 0.0000 0.5000
# formation energy (no corrections): -0.04 eV per atom